A plane-wave DFT calculation with PBE was carried out for a relaxed Sr2FeHg2 crystal.

* crystal system: tetragonal
* E_tot: -2.26 eV per atom
* energy relative to the elements: 226 meV per atom

a = 4.194 Å, b = 4.194 Å, c = 9.649 Å
α = 77.45°, β = 77.45°, γ = 90.00°
Each line ends with the local moment (μB).
Fractional positions:
Hg 0.250 0.750 0.500  -0.01
Hg 0.750 0.250 0.500  -0.01
Sr 0.402 0.402 0.197  -0.08
Sr 0.598 0.598 0.803  -0.08
Fe 0.000 0.000 0.000  2.92